Entry from Alexandria: a relaxed structure of La3Zn5O12 (GGA-PBE).

Unit cell a=11.202 b=11.202 c=11.202 alpha=109.47 beta=109.47 gamma=109.47
Last column: magnetic moment on the atom in μB.
Positions (direct):
1 La 0.750 0.375 0.125  0.01
2 La 0.875 0.750 0.125  0.01
3 La 0.375 0.750 0.625  0.01
4 La 0.250 0.125 0.375  0.01
5 La 0.875 0.125 0.250  0.01
6 La 0.375 0.625 0.250  0.01
7 La 0.625 0.375 0.750  0.01
8 La 0.125 0.875 0.750  0.01
9 La 0.750 0.875 0.625  0.01
10 La 0.625 0.250 0.375  0.01
11 La 0.125 0.250 0.875  0.01
12 La 0.250 0.625 0.875  0.01
13 Zn 0.125 0.375 0.250  0.09
14 Zn 0.000 0.500 0.000  0.14
15 Zn 0.000 0.000 0.000  0.14
16 Zn 0.375 0.250 0.125  0.09
17 Zn 0.500 0.000 0.500  0.14
18 Zn 0.500 0.500 0.000  0.14
19 Zn 0.125 0.750 0.375  0.09
20 Zn 0.750 0.125 0.875  0.09
21 Zn 0.750 0.625 0.375  0.09
22 Zn 0.375 0.125 0.750  0.09
23 Zn 0.625 0.875 0.250  0.09
24 Zn 0.500 0.500 0.500  0.14
25 Zn 0.500 0.000 0.000  0.14
26 Zn 0.000 0.000 0.500  0.14
27 Zn 0.250 0.375 0.625  0.09
28 Zn 0.250 0.875 0.125  0.09
29 Zn 0.000 0.500 0.500  0.14
30 Zn 0.875 0.250 0.625  0.09
31 Zn 0.625 0.750 0.875  0.09
32 Zn 0.875 0.625 0.750  0.09
33 O 0.704 0.123 0.029  0.32
34 O 0.324 0.529 0.405  0.32
35 O 0.971 0.377 0.296  0.32
36 O 0.529 0.204 0.123  0.32
37 O 0.581 0.704 0.676  0.32
38 O 0.971 0.595 0.176  0.32
39 O 0.324 0.796 0.419  0.32
40 O 0.095 0.919 0.123  0.32
41 O 0.595 0.971 0.676  0.32
42 O 0.704 0.581 0.176  0.32
43 O 0.796 0.471 0.377  0.32
44 O 0.824 0.905 0.029  0.32
45 O 0.123 0.704 0.529  0.32
46 O 0.377 0.405 0.081  0.32
47 O 0.081 0.905 0.377  0.32
48 O 0.419 0.123 0.595  0.32
49 O 0.081 0.176 0.204  0.32
50 O 0.471 0.676 0.095  0.32
51 O 0.824 0.919 0.296  0.32
52 O 0.123 0.419 0.095  0.32
53 O 0.377 0.971 0.796  0.32
54 O 0.595 0.623 0.419  0.32
55 O 0.905 0.824 0.529  0.32
56 O 0.796 0.324 0.919  0.32
57 O 0.405 0.377 0.581  0.32
58 O 0.095 0.176 0.471  0.32
59 O 0.204 0.676 0.081  0.32
60 O 0.176 0.081 0.704  0.32
61 O 0.623 0.029 0.204  0.32
62 O 0.877 0.581 0.905  0.32
63 O 0.529 0.324 0.905  0.32
64 O 0.581 0.877 0.405  0.32
65 O 0.919 0.824 0.796  0.32
66 O 0.919 0.095 0.623  0.32
67 O 0.877 0.296 0.471  0.32
68 O 0.176 0.095 0.971  0.32
69 O 0.623 0.595 0.919  0.32
70 O 0.405 0.029 0.324  0.32
71 O 0.296 0.419 0.824  0.32
72 O 0.204 0.529 0.623  0.32
73 O 0.905 0.081 0.877  0.32
74 O 0.676 0.204 0.581  0.32
75 O 0.471 0.796 0.877  0.32
76 O 0.029 0.405 0.824  0.32
77 O 0.419 0.296 0.324  0.32
78 O 0.029 0.623 0.704  0.32
79 O 0.676 0.471 0.595  0.32
80 O 0.296 0.877 0.971  0.32

Fermi-level density of states in states/eV per atom: 0.7521
Uncorrected formation energy in meV/atom: -1809